Entry 1:
A plane-wave DFT calculation with PBE was carried out for a relaxed structure of Ba2PaPd3O12.

As for the formation energy without anion corrections: -1.380 eV per atom. Its density is 6.179 g cm⁻³. As for the total energy: -113.26 eV/f.u.

It has space group R-3m (No. 166, hexagonal axes), with a = 7.2176 Å, b = 7.2176 Å, c = 18.1729 Å, α = 90.00°, β = 90.00° and γ = 120.00°. The inequivalent atoms are Ba at (0.0000, 0.0000, 0.1151), Pa at (0.0000, 0.0000, 0.5000), Pd at (0.0000, 0.5000, 0.0000), O at (0.0274, 0.5137, 0.1103) and O at (0.0451, 0.5225, 0.3461).

Entry 2:
A plane-wave DFT calculation with PBE was carried out for a relaxed structure of BaPaPdO4.

As for the formation energy without anion corrections: -2.440 eV per atom. Its density is 7.535 g cm⁻³. As for the total energy: -53.52 eV/f.u.

It has space group Imma (No. 74), with a = 7.1210 Å, b = 7.6985 Å, c = 8.6634 Å, α = 90.00°, β = 90.00° and γ = 90.00°. The inequivalent atoms are Ba at (0.0000, 0.2500, 0.1421), Pa at (0.2500, 0.2500, 0.7500), Pd at (0.0000, 0.0000, 0.5000), O at (0.0000, 0.0839, 0.8086) and O at (0.1819, 0.2500, 0.5060).